(1)
VASP calculation (PBE) on PrTmTl2 after structural relaxation.

It has space group R-3m (No. 166, hexagonal axes), with a = 3.7837 Å, b = 3.7837 Å, c = 29.4004 Å, α = 90.00°, β = 90.00° and γ = 120.00°. The inequivalent atoms are Pr at (0.0000, 0.0000, 0.0000), Tm at (0.0000, 0.0000, 0.5000) and Tl at (0.0000, 0.0000, 0.2463).

The calculated volume comes out at 365 Å³/cell. The value obtained for the total energy is -3.74 eV/atom. The calculation puts the offset from the most stable computed form at 113 meV/atom.



(2)
VASP calculation (PBE) on Pr2Tm5Tl after structural relaxation.

It has space group Cmcm (No. 63), with a = 5.227 Å, b = 21.508 Å, c = 11.420 Å, α = 90.00°, β = 90.00° and γ = 90.00°. The inequivalent atoms are Pr at (0.000, 0.130, 0.101), Tm at (0.000, 0.030, 0.622), Tm at (0.000, 0.271, 0.585), Tm at (0.000, 0.278, 0.250) and Tl at (0.000, 0.151, 0.750).

The calculated volume comes out at 1284 Å³/cell. The value obtained for the total energy is -3.66 eV/atom.



(3)
VASP calculation (PBE) on Pr2Tm6Tl after structural relaxation.

It has space group Immm (No. 71), with a = 3.493 Å, b = 10.142 Å, c = 15.795 Å, α = 90.00°, β = 90.00° and γ = 90.00°. The inequivalent atoms are Pr at (0.000, 0.000, 0.151), Tm at (0.000, 0.295, 0.500), Tm at (0.000, 0.338, 0.177) and Tl at (0.000, 0.500, 0.000).

The calculated volume comes out at 560 Å³/cell. The value obtained for the total energy is -4.30 eV/atom.



(4)
VASP calculation (PBE) on Pr4Tm5Tl after structural relaxation.

It has space group I4mm (No. 107), with a = 10.774 Å, b = 10.774 Å, c = 5.789 Å, α = 90.00°, β = 90.00° and γ = 90.00°. The inequivalent atoms are Pr at (0.000, 0.313, 0.000), Tm at (0.000, 0.000, 0.201), Tm at (0.184, 0.184, 0.495) and Tl at (0.000, 0.000, 0.717).

The calculated volume comes out at 672 Å³/cell. The value obtained for the total energy is -4.30 eV/atom. The calculation puts the offset from the most stable computed form at 139 meV/atom.



(5)
VASP calculation (PBE) on PrTm6Tl after structural relaxation.

It has space group Amm2 (No. 38), with a = 5.385 Å, b = 3.558 Å, c = 25.163 Å, α = 90.00°, β = 90.00° and γ = 90.00°. The inequivalent atoms are Pr at (0.000, 0.000, 0.000), Tm at (0.000, 0.000, 0.244), Tm at (0.000, 0.000, 0.624), Tm at (0.000, 0.000, 0.867), Tm at (0.500, 0.000, 0.081), Tm at (0.500, 0.000, 0.444), Tm at (0.500, 0.000, 0.702) and Tl at (0.500, 0.000, 0.317).

The calculated volume comes out at 482 Å³/cell. The value obtained for the total energy is -4.30 eV/atom.



(6)
VASP calculation (PBE) on Pr4Tm4Tl after structural relaxation.

It has space group I4/mmm (No. 139), with a = 10.828 Å, b = 10.828 Å, c = 4.902 Å, α = 90.00°, β = 90.00° and γ = 90.00°. The inequivalent atoms are Pr at (0.162, 0.162, 0.000), Tm at (0.000, 0.340, 0.500) and Tl at (0.000, 0.000, 0.500).

The calculated volume comes out at 575 Å³/cell. The value obtained for the total energy is -4.41 eV/atom.



(7)
VASP calculation (PBE) on Pr2Tm8Tl after structural relaxation.

It has space group C2/m (No. 12), with a = 18.000 Å, b = 4.921 Å, c = 7.814 Å, α = 90.00°, β = 105.20° and γ = 90.00°. The inequivalent atoms are Pr at (0.220, 0.000, 0.134), Tm at (0.044, 0.000, 0.222), Tm at (0.088, 0.500, 0.943), Tm at (0.133, 0.000, 0.673), Tm at (0.181, 0.500, 0.409) and Tl at (0.000, 0.500, 0.500).

The calculated volume comes out at 668 Å³/cell. The value obtained for the total energy is -4.36 eV/atom.



(8)
VASP calculation (PBE) on Pr4TmTl2 after structural relaxation.

It has space group C2/m (No. 12), with a = 6.941 Å, b = 10.711 Å, c = 6.280 Å, α = 90.00°, β = 96.98° and γ = 90.00°. The inequivalent atoms are Pr at (0.000, 0.206, 0.000), Pr at (0.250, 0.250, 0.500), Tm at (0.000, 0.000, 0.500) and Tl at (0.077, 0.500, 0.767).

The calculated volume comes out at 463 Å³/cell. The value obtained for the total energy is -3.97 eV/atom. The calculation puts the offset from the most stable computed form at 64 meV/atom.



(9)
VASP calculation (PBE) on PrTm4Tl7 after structural relaxation.

It has space group C2/m (No. 12), with a = 13.331 Å, b = 5.771 Å, c = 11.362 Å, α = 90.00°, β = 124.10° and γ = 90.00°. The inequivalent atoms are Pr at (0.000, 0.000, 0.000), Tm at (0.084, 0.500, 0.783), Tm at (0.219, 0.500, 0.328), Tl at (0.000, 0.500, 0.000), Tl at (0.079, 0.000, 0.334), Tl at (0.137, 0.500, 0.549) and Tl at (0.214, 0.000, 0.894).

The calculated volume comes out at 724 Å³/cell. The value obtained for the total energy is -3.35 eV/atom.



(10)
VASP calculation (PBE) on PrTm5Tl8 after structural relaxation.

It has space group I-4 (No. 82), with a = 9.120 Å, b = 9.120 Å, c = 9.558 Å, α = 90.00°, β = 90.00° and γ = 90.00°. The inequivalent atoms are Pr at (0.000, 0.000, 0.000), Tm at (0.000, 0.500, 0.750), Tm at (0.136, 0.722, 0.348), Tl at (0.071, 0.838, 0.677) and Tl at (0.101, 0.661, 0.029).

The calculated volume comes out at 795 Å³/cell. The value obtained for the total energy is -3.50 eV/atom.



(11)
VASP calculation (PBE) on Pr2Tm3Tl after structural relaxation.

It has space group Imma (No. 74), with a = 5.116 Å, b = 9.203 Å, c = 15.764 Å, α = 90.00°, β = 90.00° and γ = 90.00°. The inequivalent atoms are Pr at (0.000, 0.250, 0.026), Pr at (0.000, 0.250, 0.326), Tm at (0.000, 0.000, 0.500), Tm at (0.000, 0.044, 0.829) and Tl at (0.000, 0.250, 0.645).

The calculated volume comes out at 742 Å³/cell. The value obtained for the total energy is -4.32 eV/atom. The calculation puts the offset from the most stable computed form at 0 meV/atom.



(12)
VASP calculation (PBE) on Pr7TmTl4 after structural relaxation.

It has space group C2/m (No. 12), with a = 15.057 Å, b = 5.969 Å, c = 10.528 Å, α = 90.00°, β = 122.79° and γ = 90.00°. The inequivalent atoms are Pr at (0.000, 0.000, 0.000), Pr at (0.062, 0.500, 0.393), Pr at (0.203, 0.500, 0.884), Pr at (0.231, 0.000, 0.672), Tm at (0.000, 0.500, 0.000), Tl at (0.054, 0.000, 0.738) and Tl at (0.186, 0.000, 0.335).

The calculated volume comes out at 795 Å³/cell. The value obtained for the total energy is -4.03 eV/atom.